Zr3SbH: relaxed, GGA-PBE.

abc: 3.2481 7.9911 8.4800
angles: 68.02 87.79 84.35
Last column: nearest neighbours and their distance in Å.
Fractional coordinates of all 10 atoms:
1 Zr 0.0491 0.1470 0.1452  1 H 2.04
2 Zr 0.3083 0.8324 0.5100  1 H 2.04
3 Zr 0.3273 0.5014 0.1657  2 H 2.05-2.07
4 Zr 0.6727 0.4986 0.8343  2 H 2.05-2.07
5 Zr 0.6917 0.1676 0.4900  1 H 2.04
6 Zr 0.9509 0.8530 0.8548  1 H 2.04
7 Sb 0.2634 0.2040 0.7849  5 Zr 2.91-3.03, 2 Sb 3.25
8 Sb 0.7366 0.7960 0.2151  5 Zr 2.91-3.03, 2 Sb 3.25
9 H 0.1360 0.6677 0.7475  4 Zr 2.04-2.07
10 H 0.8640 0.3323 0.2525  4 Zr 2.04-2.07

Values from the calculation:
- Crystal system: triclinic
- Energy: -6.93 eV/atom
- Space-group type: P-1, No. 2

LiCePm2Te4: relaxed, GGA-PBE.

abc: 7.6891 4.4315 7.7233
angles: 90.00 109.34 90.00
Last column: nearest neighbours and their distance in Å.
Fractional coordinates of all 8 atoms:
1 Li 0.0000 0.0000 0.0000  6 Te 3.07-3.08
2 Ce 0.5000 0.5000 0.0000  6 Te 3.15
3 Pm 0.0000 0.5000 0.5000  6 Te 3.14
4 Pm 0.5000 0.0000 0.5000  6 Te 3.20-3.22
5 Te 0.2395 0.5000 0.2411  2 Li 3.08, 3 Pm 3.14-3.20, 1 Ce 3.15
6 Te 0.2429 0.0000 0.7546  1 Li 3.07, 3 Pm 3.14-3.22, 2 Ce 3.15
7 Te 0.7571 0.0000 0.2454  1 Li 3.07, 3 Pm 3.14-3.22, 2 Ce 3.15
8 Te 0.7605 0.5000 0.7589  2 Li 3.08, 3 Pm 3.14-3.20, 1 Ce 3.15

Values from the calculation:
- Crystal system: monoclinic
- Energy: -5.09 eV/atom
- Formation energy (no corrections): -1.355 eV per atom
- Space-group type: P2/m, No. 10